Density functional theory data (PBE) for a relaxed structure of Ac3Cu2Pd6.

Structure (POSCAR):
```
Ac3Cu2Pd6
1.0
-5.711 3.663 5.143
-1.192 -8.429 -0.018
7.855 1.749 2.779
Cu Pd Ac
4 12 6
direct
0.000 0.500 0.000
0.000 0.000 0.500
0.500 0.500 0.500
0.500 0.000 0.000
0.327 0.654 0.327
0.654 0.327 0.327
0.327 0.000 0.673
0.673 0.000 0.327
0.327 0.327 0.654
0.346 0.673 0.673
0.673 0.673 0.346
0.000 0.673 0.327
0.327 0.673 0.000
0.673 0.327 0.000
0.000 0.327 0.673
0.673 0.346 0.673
0.701 0.701 0.000
0.299 0.000 0.299
0.701 0.000 0.701
0.000 0.701 0.701
0.000 0.299 0.299
0.299 0.299 0.000
```

Properties
**DFT formation energy**: -0.631 eV/atom
**SG**: Im-3m